Computed, not measured: crystalline Mg4Cd2In5 at its relaxed geometry at the PBE-GGA level of DFT.

The density of states at the Fermi level is 4.540 states/eV per cell. The calculation puts the distance to the lowest polymorph of the same formula at 69 meV per atom. The energy of formation comes out at 0.006 eV/atom.

The space group is P-1 (No. 2) and the conventional cell measures 3.9827, 7.2214 and 9.9573 Å, with angles of 96.79, 100.32 and 91.32 degrees. Symmetry generates all atoms from Mg at (0.0317, 0.3164, 0.0723), Mg at (0.2872, 0.1709, 0.5537), Cd at (0.4208, 0.3605, 0.8450), In at (0.1280, 0.0088, 0.2566), In at (0.1792, 0.4853, 0.3687) and In at (0.5000, 0.0000, 0.0000).